No. 1
Below is an optimized crystal structure of SmCo, with properties calculated at the GGA-PBE level.

Computed properties:
Uncorrected energy   -5.03 eV per atom
Energy of formation   880 meV per atom
Crystal system   cubic
Space-group type   No. 216
Total magnetic moment   0.00 μB per cell

Lattice parameters (Å, degrees): 4.1829 4.1829 4.1829 60.00 60.00 60.00
Sites, in units of the cell vectors:
Sm (0.2500, 0.2500, 0.2500)
Co (0.0000, 0.0000, 0.0000)



No. 2
Below is an optimized crystal structure of TmAuNO, with properties calculated at the GGA-PBE level.

Computed properties:
ΔE to the lowest computed polymorph   0.0000 eV per atom
Uncorrected energy   -6.48 eV per atom
Crystal system   orthorhombic
Space-group type   No. 29
Total magnetic moment   0.00 μB per cell

Lattice parameters (Å, degrees): 5.6428 7.5946 5.5077 90.00 90.00 90.00
Sites, in units of the cell vectors:
N (0.8526, 0.8262, 0.1875)
Au (0.5651, 0.9674, 0.0208)
Tm (0.0412, 0.3710, 0.3757)
N (0.1474, 0.1738, 0.6875)
Au (0.0651, 0.0326, 0.0208)
Tm (0.5412, 0.6290, 0.3757)
N (0.6474, 0.8262, 0.6875)
O (0.7517, 0.4611, 0.1185)
Au (0.4349, 0.0326, 0.5208)
Au (0.9349, 0.9674, 0.5208)
O (0.2517, 0.5389, 0.1185)
N (0.3526, 0.1738, 0.1875)
O (0.2483, 0.5389, 0.6185)
Tm (0.4588, 0.3710, 0.8757)
Tm (0.9588, 0.6290, 0.8757)
O (0.7483, 0.4611, 0.6185)